First-principles (PBE+U) data for an optimized crystal structure of Re4Ni2F, as listed in Alexandria.

Unit cell a=3.903 b=3.903 c=7.019 alpha=73.86 beta=73.86 gamma=90.00
Atoms (fractional coordinates):
Re 0.000 0.500 0.000
Re 0.189 0.189 0.622
Re 0.500 0.000 0.000
Re 0.811 0.811 0.378
F 0.000 0.000 0.000
Ni 0.633 0.633 0.734
Ni 0.367 0.367 0.266

Space group: I4/mmm, No. 139
Total magnetic moment: 0.00 μB per cell
N(E_F): 5.16 states/eV per cell
ρ: 14.884 g/cm3
E_tot: -6.419 eV/atom